A relaxed Sc2AlB2Os5 crystal. Source: Alexandria, functional PBE.

a = 9.4429 Å, b = 9.4429 Å, c = 3.0296 Å
α = 90.00°, β = 90.00°, γ = 90.00°
Positions (direct):
Sc 0.1775 0.3225 0.0000
Sc 0.3225 0.8225 0.0000
Sc 0.6775 0.1775 0.0000
Sc 0.8225 0.6775 0.0000
Al 0.0000 0.0000 0.0000
Al 0.5000 0.5000 0.0000
B 0.1259 0.6259 0.0000
B 0.3741 0.1259 0.0000
B 0.6259 0.8741 0.0000
B 0.8741 0.3741 0.0000
Os 0.0000 0.5000 0.5000
Os 0.0673 0.7844 0.5000
Os 0.2156 0.0673 0.5000
Os 0.2844 0.5673 0.5000
Os 0.4327 0.2844 0.5000
Os 0.5000 0.0000 0.5000
Os 0.5673 0.7156 0.5000
Os 0.7156 0.4327 0.5000
Os 0.7844 0.9327 0.5000
Os 0.9327 0.2156 0.5000

Computed properties:
- SG = P4/mbm
- theoretical density (kg/m3) = 13396
- formation energy from the elements (eV/atom) = -0.44